{
  "formula": "LaTc3Pb",
  "functional": "PBE-GGA",
  "state": "relaxed",
  "cell": [[-0.418, -3.456, 3.644], [4.906, -1.066, -0.448], [1.078, 3.510, 3.453]],
  "species": ["Pb", "Tc", "Tc", "Tc", "La"],
  "fractional_positions": [[0.000, 0.000, 0.000], [0.500, 0.000, 0.000], [0.000, 0.000, 0.500], [0.000, 0.500, 0.000], [0.500, 0.500, 0.500]],
  "relative_energy_ev_per_atom": 0.000,
  "m_tot_mub_per_cell": 3.72,
  "delta_e_f_ev_per_atom": 1.65
}

***

{
  "formula": "La2TcPb",
  "functional": "PBE-GGA",
  "state": "relaxed",
  "cell": [[3.509, 0.003, 0.000], [-0.506, 3.472, 0.000], [0.000, 0.000, 9.154]],
  "species": ["La", "La", "Pb", "Tc"],
  "fractional_positions": [[0.000, 0.000, 0.946], [0.000, 0.000, 0.554], [0.500, 0.500, 0.250], [0.500, 0.500, 0.750]],
  "m_tot_mub_per_cell": 0.00,
  "delta_e_f_ev_per_atom": -0.14
}